No. 1
# Tb2Ga7Au12 (PBE, relaxed)
data_Tb2Ga7Au12
_chemical_formula_sum 'Tb2 Ga7 Au12'
_cell_length_a 4.101
_cell_length_b 10.662
_cell_length_c 10.662
_cell_angle_alpha 120.00
_cell_angle_beta 90.00
_cell_angle_gamma 90.00
_space_group_name_H-M_alt 'P 1'
_space_group_IT_number 1
loop_
_space_group_symop_operation_xyz
'x,y,z'
loop_
_atom_site_label
_atom_site_type_symbol
_atom_site_fract_x
_atom_site_fract_y
_atom_site_fract_z
_atom_site_occupancy
Tb1 Tb 0.244 0.333 0.667 1
Tb2 Tb 0.756 0.667 0.333 1
Ga1 Ga 0.500 0.000 0.000 1
Ga2 Ga 0.270 0.896 0.299 1
Ga3 Ga 0.270 0.403 0.104 1
Ga4 Ga 0.270 0.701 0.597 1
Ga5 Ga 0.730 0.104 0.701 1
Ga6 Ga 0.730 0.597 0.896 1
Ga7 Ga 0.730 0.299 0.403 1
Au1 Au 0.241 0.631 0.085 1
Au2 Au 0.241 0.455 0.369 1
Au3 Au 0.241 0.915 0.545 1
Au4 Au 0.759 0.369 0.915 1
Au5 Au 0.759 0.545 0.631 1
Au6 Au 0.759 0.085 0.455 1
Au7 Au 0.226 0.127 0.259 1
Au8 Au 0.226 0.132 0.873 1
Au9 Au 0.226 0.741 0.868 1
Au10 Au 0.774 0.873 0.741 1
Au11 Au 0.774 0.868 0.127 1
Au12 Au 0.774 0.259 0.132 1
# Energy of formation from the pure elements ... -362.8 meV/atom
# D(E_F) ... 0.289 states/eV per atom
# Crystal system ... trigonal

=====

No. 2
# Tb3GaAu (PBE, relaxed)
data_Tb3GaAu
_chemical_formula_sum 'Tb6 Ga2 Au2'
_cell_length_a 4.183
_cell_length_b 6.706
_cell_length_c 10.017
_cell_angle_alpha 98.51
_cell_angle_beta 90.01
_cell_angle_gamma 108.14
_space_group_name_H-M_alt 'P 1'
_space_group_IT_number 1
loop_
_space_group_symop_operation_xyz
'x,y,z'
loop_
_atom_site_label
_atom_site_type_symbol
_atom_site_fract_x
_atom_site_fract_y
_atom_site_fract_z
_atom_site_occupancy
Tb1 Tb 0.428 0.855 0.135 1
Tb2 Tb 0.145 0.289 0.597 1
Tb3 Tb 0.851 0.702 0.786 1
Tb4 Tb 0.149 0.298 0.214 1
Tb5 Tb 0.572 0.145 0.865 1
Tb6 Tb 0.855 0.711 0.403 1
Ga1 Ga 0.761 0.522 0.084 1
Ga2 Ga 0.239 0.478 0.916 1
Au1 Au 0.571 0.140 0.396 1
Au2 Au 0.429 0.860 0.604 1
# Energy of formation from the pure elements ... -525.0 meV/atom
# D(E_F) ... 0.679 states/eV per atom
# Crystal system ... monoclinic

=====

No. 3
# Tb2GaAu3 (PBE, relaxed)
data_Tb2GaAu3
_chemical_formula_sum 'Tb2 Ga1 Au3'
_cell_length_a 3.463
_cell_length_b 4.607
_cell_length_c 8.137
_cell_angle_alpha 90.00
_cell_angle_beta 90.00
_cell_angle_gamma 90.00
_space_group_name_H-M_alt 'P 1'
_space_group_IT_number 1
loop_
_space_group_symop_operation_xyz
'x,y,z'
loop_
_atom_site_label
_atom_site_type_symbol
_atom_site_fract_x
_atom_site_fract_y
_atom_site_fract_z
_atom_site_occupancy
Tb1 Tb 0.000 0.500 0.990 1
Tb2 Tb 0.000 0.000 0.511 1
Ga1 Ga 0.500 0.500 0.327 1
Au1 Au 0.500 0.000 0.841 1
Au2 Au 0.500 0.000 0.183 1
Au3 Au 0.500 0.500 0.648 1
# Energy of formation from the pure elements ... -794.8 meV/atom
# D(E_F) ... 0.656 states/eV per atom
# Crystal system ... orthorhombic

=====

No. 4
# Tb3Ga8Au3 (PBE, relaxed)
data_Tb3Ga8Au3
_chemical_formula_sum 'Tb3 Ga8 Au3'
_cell_length_a 4.367
_cell_length_b 8.391
_cell_length_c 8.253
_cell_angle_alpha 73.57
_cell_angle_beta 74.66
_cell_angle_gamma 74.92
_space_group_name_H-M_alt 'P 1'
_space_group_IT_number 1
loop_
_space_group_symop_operation_xyz
'x,y,z'
loop_
_atom_site_label
_atom_site_type_symbol
_atom_site_fract_x
_atom_site_fract_y
_atom_site_fract_z
_atom_site_occupancy
Tb1 Tb 0.308 0.681 0.703 1
Tb2 Tb 0.692 0.319 0.297 1
Tb3 Tb 0.000 0.000 0.000 1
Ga1 Ga 0.148 0.125 0.578 1
Ga2 Ga 0.852 0.875 0.422 1
Ga3 Ga 0.858 0.423 0.861 1
Ga4 Ga 0.142 0.577 0.139 1
Ga5 Ga 0.490 0.702 0.317 1
Ga6 Ga 0.510 0.298 0.683 1
Ga7 Ga 0.340 0.042 0.278 1
Ga8 Ga 0.660 0.958 0.722 1
Au1 Au 0.000 0.500 0.500 1
Au2 Au 0.653 0.708 0.986 1
Au3 Au 0.347 0.292 0.014 1
# Energy of formation from the pure elements ... -568.0 meV/atom
# D(E_F) ... 0.501 states/eV per atom
# Crystal system ... monoclinic

=====

No. 5
# Tb2Ga5Au3 (PBE, relaxed)
data_Tb2Ga5Au3
_chemical_formula_sum 'Tb4 Ga10 Au6'
_cell_length_a 4.432
_cell_length_b 7.038
_cell_length_c 12.740
_cell_angle_alpha 90.00
_cell_angle_beta 100.02
_cell_angle_gamma 90.00
_space_group_name_H-M_alt 'P 1'
_space_group_IT_number 1
loop_
_space_group_symop_operation_xyz
'x,y,z'
loop_
_atom_site_label
_atom_site_type_symbol
_atom_site_fract_x
_atom_site_fract_y
_atom_site_fract_z
_atom_site_occupancy
Tb1 Tb 0.483 0.744 0.966 1
Tb2 Tb 0.174 0.734 0.349 1
Tb3 Tb 0.826 0.234 0.651 1
Tb4 Tb 0.517 0.244 0.034 1
Ga1 Ga 0.395 0.408 0.791 1
Ga2 Ga 0.294 0.523 0.588 1
Ga3 Ga 0.706 0.023 0.412 1
Ga4 Ga 0.118 0.258 0.236 1
Ga5 Ga 0.293 0.932 0.586 1
Ga6 Ga 0.950 0.066 0.900 1
Ga7 Ga 0.707 0.432 0.414 1
Ga8 Ga 0.882 0.758 0.764 1
Ga9 Ga 0.050 0.566 0.100 1
Ga10 Ga 0.605 0.908 0.209 1
Au1 Au 0.777 0.726 0.553 1
Au2 Au 0.607 0.518 0.214 1
Au3 Au 0.052 0.956 0.104 1
Au4 Au 0.223 0.226 0.447 1
Au5 Au 0.948 0.456 0.896 1
Au6 Au 0.393 0.018 0.786 1
# Energy of formation from the pure elements ... -605.7 meV/atom
# D(E_F) ... 0.348 states/eV per atom
# Crystal system ... orthorhombic

=====

No. 6
# Tb4GaAu (PBE, relaxed)
data_Tb4GaAu
_chemical_formula_sum 'Tb8 Ga2 Au2'
_cell_length_a 5.185
_cell_length_b 6.284
_cell_length_c 11.140
_cell_angle_alpha 90.00
_cell_angle_beta 103.46
_cell_angle_gamma 90.00
_space_group_name_H-M_alt 'P 1'
_space_group_IT_number 1
loop_
_space_group_symop_operation_xyz
'x,y,z'
loop_
_atom_site_label
_atom_site_type_symbol
_atom_site_fract_x
_atom_site_fract_y
_atom_site_fract_z
_atom_site_occupancy
Tb1 Tb 0.879 0.289 0.758 1
Tb2 Tb 0.121 0.789 0.242 1
Tb3 Tb 0.440 0.858 0.880 1
Tb4 Tb 0.560 0.358 0.120 1
Tb5 Tb 0.716 0.553 0.432 1
Tb6 Tb 0.284 0.053 0.568 1
Tb7 Tb 0.691 0.071 0.381 1
Tb8 Tb 0.309 0.571 0.619 1
Ga1 Ga 0.839 0.814 0.678 1
Ga2 Ga 0.161 0.314 0.322 1
Au1 Au 0.572 0.847 0.144 1
Au2 Au 0.428 0.347 0.856 1
# Energy of formation from the pure elements ... -308.7 meV/atom
# D(E_F) ... 1.028 states/eV per atom
# Crystal system ... orthorhombic

=====

No. 7
# TbGa3Au (PBE, relaxed)
data_TbGa3Au
_chemical_formula_sum 'Tb1 Ga3 Au1'
_cell_length_a 4.184
_cell_length_b 4.184
_cell_length_c 6.356
_cell_angle_alpha 70.89
_cell_angle_beta 70.89
_cell_angle_gamma 90.07
_space_group_name_H-M_alt 'P 1'
_space_group_IT_number 1
loop_
_space_group_symop_operation_xyz
'x,y,z'
loop_
_atom_site_label
_atom_site_type_symbol
_atom_site_fract_x
_atom_site_fract_y
_atom_site_fract_z
_atom_site_occupancy
Tb1 Tb 0.390 0.194 0.925 1
Ga1 Ga 0.653 0.958 0.397 1
Ga2 Ga 0.154 0.457 0.397 1
Ga3 Ga 0.795 0.598 0.116 1
Au1 Au 0.015 0.818 0.675 1
# Energy of formation from the pure elements ... -549.3 meV/atom
# D(E_F) ... 0.239 states/eV per atom
# Crystal system ... monoclinic

=====

No. 8
# TbGaAu3 (PBE, relaxed)
data_TbGaAu3
_chemical_formula_sum 'Tb4 Ga4 Au12'
_cell_length_a 4.775
_cell_length_b 9.072
_cell_length_c 9.268
_cell_angle_alpha 90.00
_cell_angle_beta 90.00
_cell_angle_gamma 90.00
_space_group_name_H-M_alt 'P 1'
_space_group_IT_number 1
loop_
_space_group_symop_operation_xyz
'x,y,z'
loop_
_atom_site_label
_atom_site_type_symbol
_atom_site_fract_x
_atom_site_fract_y
_atom_site_fract_z
_atom_site_occupancy
Tb1 Tb 0.750 0.764 0.997 1
Tb2 Tb 0.250 0.736 0.497 1
Tb3 Tb 0.750 0.264 0.503 1
Tb4 Tb 0.250 0.236 0.003 1
Ga1 Ga 0.250 0.112 0.672 1
Ga2 Ga 0.250 0.612 0.828 1
Ga3 Ga 0.750 0.388 0.172 1
Ga4 Ga 0.750 0.888 0.328 1
Au1 Au 0.250 0.573 0.105 1
Au2 Au 0.750 0.427 0.895 1
Au3 Au 0.250 0.073 0.395 1
Au4 Au 0.750 0.927 0.605 1
Au5 Au 0.250 0.396 0.657 1
Au6 Au 0.750 0.104 0.157 1
Au7 Au 0.250 0.896 0.843 1
Au8 Au 0.750 0.609 0.655 1
Au9 Au 0.250 0.391 0.345 1
Au10 Au 0.750 0.109 0.845 1
Au11 Au 0.750 0.604 0.343 1
Au12 Au 0.250 0.891 0.155 1
# Energy of formation from the pure elements ... -599.4 meV/atom
# D(E_F) ... 0.529 states/eV per atom
# Crystal system ... orthorhombic

=====

- energy of formation from the pure elements of number 1 (Tb2Ga7Au12)?
  -362.8 meV/atom